The following is a PBE calculation of crystalline CeZnPd14 at its relaxed geometry, from the Alexandria database.

Unit cell a=5.704 b=5.704 c=7.843 alpha=90.00 beta=90.00 gamma=90.00
Atoms (fractional coordinates):
Ce  0.000  0.000  0.000
Zn  0.500  0.500  0.000
Pd  0.000  0.000  0.500
Pd  0.000  0.500  0.000
Pd  0.000  0.500  0.500
Pd  0.253  0.253  0.251
Pd  0.253  0.253  0.749
Pd  0.253  0.747  0.251
Pd  0.253  0.747  0.749
Pd  0.500  0.000  0.000
Pd  0.500  0.000  0.500
Pd  0.500  0.500  0.500
Pd  0.747  0.253  0.251
Pd  0.747  0.253  0.749
Pd  0.747  0.747  0.251
Pd  0.747  0.747  0.749

Results
Calculated density in kg/m3: 11031
SG: P4/mmm (123)
Formation energy from the elements in eV per atom: -0.286
Raw total energy in eV/atom: -5.280
Fermi-level density of states in states/eV/cell: 24.00

The following is a PBE calculation of crystalline KAgTe2Rh at its relaxed geometry, from the Alexandria database.

Unit cell a=5.942 b=5.942 c=5.227 alpha=90.00 beta=90.00 gamma=90.00
Atoms (fractional coordinates):
K  0.000  0.000  0.000
Ag  0.000  0.000  0.500
Te  0.000  0.500  0.000
Te  0.500  0.000  0.000
Rh  0.500  0.500  0.500

Results
Calculated density in kg/m3: 4545
SG: P4/mmm (123)
Raw total energy in eV/atom: -2.080
Raw formation energy in eV per formula unit: 7.2
Fermi-level density of states in states/eV/cell: 8.46

The following is a PBE calculation of crystalline SrRuSe2Br at its relaxed geometry, from the Alexandria database.

Unit cell a=5.779 b=5.779 c=5.688 alpha=90.00 beta=90.00 gamma=90.00
Atoms (fractional coordinates):
Sr  0.000  0.000  0.000
Ru  0.500  0.500  0.500
Se  0.000  0.500  0.000
Se  0.500  0.000  0.000
Br  0.000  0.000  0.500

Results
Calculated density in kg/m3: 3729
SG: P4/mmm (123)
Raw total energy in eV/atom: -3.272
Raw formation energy in eV per formula unit: 3.2
Fermi-level density of states in states/eV/cell: 7.97

The following is a PBE calculation of crystalline P2OsWS at its relaxed geometry, from the Alexandria database.

Unit cell a=4.439 b=4.439 c=4.979 alpha=90.00 beta=90.00 gamma=90.00
Atoms (fractional coordinates):
P  0.000  0.500  0.000
P  0.500  0.000  0.000
Os  0.000  0.000  0.000
W  0.500  0.500  0.500
S  0.000  0.000  0.500

Results
Calculated density in kg/m3: 7924
SG: P4/mmm (123)
Raw total energy in eV/atom: -6.458
Raw formation energy in eV per formula unit: 6.8
Fermi-level density of states in states/eV/cell: 3.13

The following is a PBE calculation of crystalline Ta3RuW2 at its relaxed geometry, from the Alexandria database.

Unit cell a=3.216 b=3.216 c=9.698 alpha=90.00 beta=90.00 gamma=90.00
Atoms (fractional coordinates):
Ta  0.000  0.000  0.000
Ta  0.000  0.000  0.334
Ta  0.000  0.000  0.666
Ru  0.500  0.500  0.500
W  0.500  0.500  0.169
W  0.500  0.500  0.831

Results
Calculated density in kg/m3: 16745
SG: P4/mmm (123)
Formation energy from the elements in eV per atom: -0.234
Raw total energy in eV/atom: -12.024
Fermi-level density of states in states/eV/cell: 2.55

The following is a PBE calculation of crystalline CoH3Cl at its relaxed geometry, from the Alexandria database.

Unit cell a=3.458 b=3.458 c=3.458 alpha=90.00 beta=90.00 gamma=90.00
Atoms (fractional coordinates):
Co  0.000  0.000  0.000
H  0.000  0.000  0.500
H  0.000  0.500  0.000
H  0.500  0.000  0.000
Cl  0.500  0.500  0.500

Results
Calculated density in kg/m3: 3911
SG: Pm-3m (221)
Raw total energy in eV/atom: -3.104
Fermi-level density of states in states/eV/cell: 4.23

The following is a PBE calculation of crystalline KInIr2 at its relaxed geometry, from the Alexandria database.

Unit cell a=2.850 b=4.219 c=7.976 alpha=90.00 beta=100.12 gamma=90.00
Atoms (fractional coordinates):
K  0.000  0.000  0.000
In  0.668  0.500  0.349
Ir  0.329  0.500  0.673
Ir  0.790  0.000  0.596

Results
Calculated density in kg/m3: 9469
SG: Pm (6)
Formation energy from the elements in eV per atom: 0.231
Raw total energy in eV/atom: -5.159
Fermi-level density of states in states/eV/cell: 2.96